Below is a relaxed structure of YAlTl2Si, with properties calculated at the PBE level.

```
YAlTl2Si
1.0
-1.618 -3.298 3.794
4.028 -2.600 -0.543
2.415 2.985 3.625
Y Tl Si Al
1 2 1 1
Direct
0.500 0.500 0.500
0.000 0.000 0.500
0.500 0.000 0.000
0.000 0.500 0.000
0.000 0.000 0.000
```

Calculated values
Its space group is P4/mmm. The uncorrected formation energy is 354 meV per atom.

Below is a relaxed structure of Tm4Al5Si6, with properties calculated at the PBE level.

```
Tm4Al5Si6
1.0
4.128 0.000 0.000
-2.064 9.434 0.000
0.000 0.000 14.853
Tm Al Si
8 10 12
Direct
0.960 0.920 0.269
0.040 0.080 0.769
0.161 0.322 0.308
0.839 0.678 0.808
0.819 0.639 0.445
0.181 0.361 0.945
0.014 0.029 0.499
0.986 0.971 0.999
0.445 0.891 0.681
0.555 0.109 0.181
0.153 0.305 0.627
0.847 0.695 0.127
0.644 0.288 0.474
0.356 0.712 0.974
0.307 0.614 0.616
0.693 0.386 0.116
0.338 0.676 0.280
0.662 0.324 0.780
0.766 0.531 0.261
0.426 0.852 0.410
0.783 0.566 0.986
0.217 0.434 0.486
0.449 0.899 0.853
0.551 0.101 0.353
0.427 0.853 0.129
0.573 0.147 0.629
0.110 0.219 0.117
0.890 0.781 0.617
0.574 0.148 0.910
0.234 0.469 0.761
```

Calculated values
Its space group is Cmc2_1. The uncorrected formation energy is -392 meV per atom.